{"formula": "La5TmMg2", "functional": "PBE", "state": "relaxed", "lattice": [[-5.714, 4.011, 0.772], [1.742, -1.094, -6.715], [-1.393, -6.254, 2.877]], "species": ["La", "Tm", "La", "La", "La", "La", "Mg", "Mg"], "fractional_positions": [[0.277, 0.277, 0.000], [0.779, 0.778, 0.000], [0.278, 0.278, 0.500], [0.278, 0.778, 0.000], [0.778, 0.278, 0.000], [0.778, 0.778, 0.500], [0.778, 0.278, 0.500], [0.278, 0.778, 0.500]], "magmom_total_mub_per_fu": 0.0, "dft_energy_ev_per_atom": -4.035, "formation_energy_ev_per_atom": 0.003, "vol_a3_per_cell": 265.77, "space_group": "I4mm", "n_ef_per_ev_atom": 1.38}